(1)
Entry from the Alexandria database: crystalline La3CS2 at its relaxed geometry (GGA-PBE).

Values from the calculation:
Calculated density: 5.654 g cm⁻³
Offset from the most stable computed form: 0.000 eV/atom
Space-group type: Fddd

The structure in extended XYZ format:
```
24
Lattice="6.977 0.044 -1.295 -2.658 6.451 -1.295 -0.035 -0.052 12.852" Properties=species:S:1:pos:R:3 pbc="T T T"
La -0.734 4.392 9.476
La 4.230 0.866 9.539
La 0.433 0.379 8.506
La 2.446 3.949 7.149
La -1.229 3.376 5.708
La 0.695 6.270 4.554
La 1.588 2.660 3.113
La 4.102 5.897 1.756
La 5.122 2.207 0.723
La -0.050 5.421 0.786
La 0.962 1.447 -0.577
La 3.357 5.048 -2.013
C 3.927 5.905 8.317
C 0.091 5.361 7.076
C -0.624 4.285 3.186
C 0.358 0.538 1.945
S 5.605 3.205 10.864
S 1.782 2.681 9.695
S 4.893 2.135 6.993
S 1.071 1.610 5.823
S 3.214 4.833 4.438
S 4.209 1.105 3.269
S 2.502 3.762 0.567
S 3.497 0.035 -0.602
```


(2)
Entry from the Alexandria database: crystalline Er2ScCu9 at its relaxed geometry (GGA-PBE).

Values from the calculation:
Calculated density: 8.570 g cm⁻³
ΔE_f: -0.187 eV per atom
Offset from the most stable computed form: 0.003 eV/atom
Space-group type: R-3m

The structure in extended XYZ format:
```
12
Lattice="5.060 0.000 0.000 2.530 4.382 0.000 2.530 1.461 8.313" Properties=species:S:1:pos:R:3 pbc="T T T"
Er 7.591 4.382 3.452
Er 2.530 1.461 4.860
Sc 0.000 0.000 0.000
Cu 7.591 4.382 8.298
Cu 2.530 1.461 0.015
Cu 5.060 2.922 4.156
Cu 3.791 2.189 2.036
Cu 6.329 2.189 2.036
Cu 5.060 4.387 2.036
Cu 6.329 3.654 6.277
Cu 5.060 1.456 6.277
Cu 3.791 3.654 6.277
```


(3)
Entry from the Alexandria database: crystalline Li3P2Pt3 at its relaxed geometry (GGA-PBE).

Values from the calculation:
Calculated density: 8.474 g cm⁻³
ΔE_f: -0.700 eV per atom
Space-group type: Pnma

The structure in extended XYZ format:
```
32
Lattice="5.009 0.000 0.000 0.000 7.249 0.000 0.000 0.000 14.420" Properties=species:S:1:pos:R:3 pbc="T T T"
Li 0.512 3.557 5.603
Li 3.016 0.067 8.817
Li 4.497 3.692 12.812
Li 1.993 7.182 1.607
Li 4.497 3.692 8.817
Li 1.993 7.182 5.603
Li 0.512 3.557 1.607
Li 3.016 0.067 12.812
Li 2.960 2.464 3.605
Li 0.456 1.161 10.815
Li 2.049 4.785 10.815
Li 4.553 6.089 3.605
P 4.595 1.045 5.672
P 2.090 2.579 8.748
P 0.414 6.204 12.881
P 2.919 4.670 1.538
P 0.414 6.204 8.748
P 2.919 4.670 5.672
P 4.595 1.045 1.538
P 2.090 2.579 12.881
Pt 0.425 1.352 3.605
Pt 2.930 2.272 10.815
Pt 4.584 5.897 10.815
Pt 2.079 4.977 3.605
Pt 3.109 2.536 6.588
Pt 0.604 1.088 7.832
Pt 1.901 4.713 13.798
Pt 4.405 6.161 0.622
Pt 1.901 4.713 7.832
Pt 4.405 6.161 6.588
Pt 3.109 2.536 0.622
Pt 0.604 1.088 13.798
```


Question: The highest calculated density belongs to which entry?
Answer: Er2ScCu9


Please write out number 1 again, unchanged.
Entry from the Alexandria database: crystalline La3CS2 at its relaxed geometry (GGA-PBE).

Values from the calculation:
Calculated density: 5.654 g cm⁻³
Offset from the most stable computed form: 0.000 eV/atom
Space-group type: Fddd

The structure in extended XYZ format:
```
24
Lattice="6.977 0.044 -1.295 -2.658 6.451 -1.295 -0.035 -0.052 12.852" Properties=species:S:1:pos:R:3 pbc="T T T"
La -0.734 4.392 9.476
La 4.230 0.866 9.539
La 0.433 0.379 8.506
La 2.446 3.949 7.149
La -1.229 3.376 5.708
La 0.695 6.270 4.554
La 1.588 2.660 3.113
La 4.102 5.897 1.756
La 5.122 2.207 0.723
La -0.050 5.421 0.786
La 0.962 1.447 -0.577
La 3.357 5.048 -2.013
C 3.927 5.905 8.317
C 0.091 5.361 7.076
C -0.624 4.285 3.186
C 0.358 0.538 1.945
S 5.605 3.205 10.864
S 1.782 2.681 9.695
S 4.893 2.135 6.993
S 1.071 1.610 5.823
S 3.214 4.833 4.438
S 4.209 1.105 3.269
S 2.502 3.762 0.567
S 3.497 0.035 -0.602
```


Question: Which of these has the highest calculated density?
Answer: Er2ScCu9